Below is NpCoRhAu after structural relaxation, with properties calculated at the PBE-GGA level. Values from VASP.

```
&SYSTEM
  ibrav = 0, nat = 4, ntyp = 4
/
ATOMIC_SPECIES
Np 237.00 Np.upf
Co 58.93 Co.upf
Rh 102.91 Rh.upf
Au 196.97 Au.upf
ATOMIC_POSITIONS crystal
Np 0.000 0.000 0.000
Co 0.250 0.250 0.250
Rh 0.750 0.750 0.750
Au 0.500 0.500 0.500
CELL_PARAMETERS angstrom
0.000 3.228 3.228
3.228 0.000 3.228
3.228 3.228 0.000
```

volume	67.29	Å³/f.u.
DOS(E_F)	1.379	states/eV per atom
DFT total energy	-7.7672	eV/atom
symmetry	No. 216